MnCrSnO6 | PBE+U | optimized geometry

Properties
Its calculated volume is 194 Å³/cell. The calculation puts the total energy at -6.8831 eV/atom. The space group is P4_2nm (102). The calculation puts the total moment at 5.005 μB per formula unit. Its crystal system is tetragonal.

Cell: 4.595 4.595 9.199 Å, 90.00 90.00 90.00°
Element x y z (fractional)
1 Mn 0.000 0.000 0.000
2 Mn 0.500 0.500 0.500
3 Cr 0.000 0.000 0.332
4 Cr 0.500 0.500 0.832
5 Sn 0.000 0.000 0.664
6 Sn 0.500 0.500 0.164
7 O 0.183 0.183 0.164
8 O 0.202 0.202 0.491
9 O 0.202 0.202 0.840
10 O 0.298 0.702 0.340
11 O 0.298 0.702 0.991
12 O 0.317 0.683 0.664
13 O 0.683 0.317 0.664
14 O 0.702 0.298 0.340
15 O 0.702 0.298 0.991
16 O 0.798 0.798 0.491
17 O 0.798 0.798 0.840
18 O 0.817 0.817 0.164